No. 1
Here is crystalline TiCu2PPb at its relaxed geometry from Alexandria. Energies are from PBE-GGA. Values from VASP.

E (eV per atom): -3.797
Crystal system: tetragonal
Space-group type: P4/mmm

Structure (Quantum ESPRESSO input):
```
&SYSTEM
  ibrav = 0, nat = 5, ntyp = 4
/
ATOMIC_SPECIES
Pb 207.20 Pb.upf
P 30.97 P.upf
Cu 63.55 Cu.upf
Ti 47.87 Ti.upf
ATOMIC_POSITIONS crystal
Pb 0.0000 0.0000 0.0000
P 0.5000 0.5000 0.5000
Cu 0.0000 0.0000 0.5000
Cu 0.5000 0.0000 0.0000
Ti 0.0000 0.5000 0.0000
CELL_PARAMETERS angstrom
4.6190 0.0000 0.0000
0.0000 5.2936 0.0000
0.0000 0.0000 4.6190
```

---

No. 2
Here is crystalline Th3In2Ag2 at its relaxed geometry from Alexandria. Energies are from PBE-GGA. Values from VASP.

E (eV per atom): -4.946
Crystal system: monoclinic
Space-group type: C2/m

Structure (Quantum ESPRESSO input):
```
&SYSTEM
  ibrav = 0, nat = 7, ntyp = 3
/
ATOMIC_SPECIES
Th 232.04 Th.upf
In 114.82 In.upf
Ag 107.87 Ag.upf
ATOMIC_POSITIONS crystal
Th 0.3376 0.6752 0.3752
Th 0.6624 0.3248 0.6248
Th 0.5000 0.0000 0.0000
In 0.9565 0.9130 0.6846
In 0.0435 0.0870 0.3154
Ag 0.8113 0.6227 0.0575
Ag 0.1887 0.3773 0.9425
CELL_PARAMETERS angstrom
4.8607 0.0000 0.0000
-2.4304 5.4237 -1.5077
0.0000 0.6381 7.0328
```

---

No. 3
Here is crystalline Li2PCl at its relaxed geometry from Alexandria. Energies are from PBE-GGA. Values from VASP.

ΔE to the lowest computed polymorph (meV/atom): 248
ΔE_f (raw) (eV per atom): -0.5946
Crystal system: orthorhombic
Space-group type: Immm

Structure (Quantum ESPRESSO input):
```
&SYSTEM
  ibrav = 0, nat = 4, ntyp = 3
/
ATOMIC_SPECIES
Cl 35.45 Cl.upf
Li 6.94 Li.upf
P 30.97 P.upf
ATOMIC_POSITIONS crystal
Cl 0.2500 0.7500 0.5000
Li 0.0244 0.0244 0.0000
Li 0.4756 0.4756 0.0000
P 0.7500 0.2500 0.5000
CELL_PARAMETERS angstrom
-1.1184 5.9866 -1.5913
-5.2563 -1.6407 3.0499
6.0229 1.8160 -0.2216
```